# 1
## AlCoCu2 (PBE)

Data for a relaxed structure of AlCoCu2.

Formation energy: -0.16 eV per atom

Cell lengths 3.763, 3.763, 6.745 Å; angles 90.00, 90.00, 90.00 degrees
Space group I-4m2 (No. 119)
Inequivalent atoms, fractional coordinates:
Al 0.000 0.000 0.000 [2 per cell]
Co 0.000 0.500 0.750 [2 per cell]
Cu 0.000 0.000 0.500 [2 per cell]
Cu 0.000 0.500 0.250 [2 per cell]

# 2
## Ca2Al3AgAu4 (PBE)

Data for a relaxed structure of Ca2Al3AgAu4.

Formation energy: -0.55 eV per atom

Cell lengths 4.372, 4.372, 11.046 Å; angles 90.00, 90.00, 90.00 degrees
Space group P-4m2 (No. 115)
Inequivalent atoms, fractional coordinates:
Ca 0.000 0.500 0.250 [2 per cell]
Al 0.000 0.000 0.000 [1 per cell]
Al 0.000 0.500 0.625 [2 per cell]
Ag 0.500 0.500 0.000 [1 per cell]
Au 0.000 0.000 0.500 [1 per cell]
Au 0.000 0.500 0.849 [2 per cell]
Au 0.500 0.500 0.500 [1 per cell]